Entry 1:
The following is a DFT calculation (GGA-PBE) of an optimized crystal structure of Ba2Tl2O.

Output
Calculated volume in Å³ per cell: 161.8
Magnetization in μB/f.u.: 0.0
E above lowest polymorph in eV/atom: 0.279
DOS at the Fermi energy in states/eV/f.u.: 2.998

a b c (Å): 9.9938 9.9938 9.9938
angles (deg): 156.24 156.24 33.85
Positions (direct):
Ba: 0.0864 0.0864 0.0000
Ba: 0.9136 0.9136 0.0000
Tl: 0.2500 0.7500 0.5000
Tl: 0.7500 0.2500 0.5000
O: 0.5000 0.5000 0.0000



Entry 2:
The following is a DFT calculation (GGA-PBE) of an optimized crystal structure of K12Pd3O5.

Output
E in eV/atom: -3.141
Calculated volume in Å³ per cell: 2522.2
Magnetization in μB/f.u.: 2.6
DOS at the Fermi energy in states/eV/f.u.: 20.647

a b c (Å): 14.8525 14.8525 14.8525
angles (deg): 109.47 109.47 109.47
Positions (direct):
K: 0.0162 0.1952 0.1111
K: 0.0162 0.3209 0.9050
K: 0.0841 0.6952 0.6791
K: 0.0841 0.8889 0.4050
K: 0.0950 0.6111 0.4159
K: 0.0950 0.9838 0.6791
K: 0.1111 0.0162 0.1952
K: 0.1111 0.5950 0.9159
K: 0.1791 0.1952 0.5841
K: 0.1791 0.4838 0.5950
K: 0.1952 0.1111 0.0162
K: 0.1952 0.5841 0.1791
K: 0.3048 0.3209 0.9159
K: 0.3048 0.4838 0.3889
K: 0.3209 0.9050 0.0162
K: 0.3209 0.9159 0.3048
K: 0.3889 0.3048 0.4838
K: 0.3889 0.5841 0.9050
K: 0.4050 0.0841 0.8889
K: 0.4050 0.8209 0.5162
K: 0.4159 0.0950 0.6111
K: 0.4159 0.8209 0.8048
K: 0.4838 0.3889 0.3048
K: 0.4838 0.5950 0.1791
K: 0.5162 0.4050 0.8209
K: 0.5162 0.6111 0.6952
K: 0.5841 0.1791 0.1952
K: 0.5841 0.9050 0.3889
K: 0.5950 0.1791 0.4838
K: 0.5950 0.9159 0.1111
K: 0.6111 0.4159 0.0950
K: 0.6111 0.6952 0.5162
K: 0.6791 0.0841 0.6952
K: 0.6791 0.0950 0.9838
K: 0.6952 0.5162 0.6111
K: 0.6952 0.6791 0.0841
K: 0.8048 0.4159 0.8209
K: 0.8048 0.8889 0.9838
K: 0.8209 0.5162 0.4050
K: 0.8209 0.8048 0.4159
K: 0.8889 0.4050 0.0841
K: 0.8889 0.9838 0.8048
K: 0.9050 0.0162 0.3209
K: 0.9050 0.3889 0.5841
K: 0.9159 0.1111 0.5950
K: 0.9159 0.3048 0.3209
K: 0.9838 0.6791 0.0950
K: 0.9838 0.8048 0.8889
Pd: 0.1250 0.2500 0.3750
Pd: 0.1250 0.3750 0.7500
Pd: 0.2500 0.3750 0.1250
Pd: 0.2500 0.8750 0.6250
Pd: 0.3750 0.1250 0.2500
Pd: 0.3750 0.7500 0.1250
Pd: 0.6250 0.2500 0.8750
Pd: 0.6250 0.8750 0.7500
Pd: 0.7500 0.1250 0.3750
Pd: 0.7500 0.6250 0.8750
Pd: 0.8750 0.6250 0.2500
Pd: 0.8750 0.7500 0.6250
O: 0.0000 0.0000 0.0000
O: 0.0000 0.0000 0.5000
O: 0.0000 0.5000 0.0000
O: 0.0000 0.5000 0.5000
O: 0.1250 0.7500 0.8750
O: 0.1250 0.8750 0.2500
O: 0.2500 0.1250 0.8750
O: 0.2500 0.6250 0.3750
O: 0.3750 0.2500 0.6250
O: 0.3750 0.6250 0.7500
O: 0.5000 0.0000 0.0000
O: 0.5000 0.0000 0.5000
O: 0.5000 0.5000 0.0000
O: 0.5000 0.5000 0.5000
O: 0.6250 0.3750 0.2500
O: 0.6250 0.7500 0.3750
O: 0.7500 0.3750 0.6250
O: 0.7500 0.8750 0.1250
O: 0.8750 0.1250 0.7500
O: 0.8750 0.2500 0.1250



Entry 3:
The following is a DFT calculation (GGA-PBE) of an optimized crystal structure of CrIr3Rh2.

Output
Formation energy in eV per atom: 0.37
Calculated volume in Å³ per cell: 185.7
Magnetization in μB/f.u.: 0.0
E above lowest polymorph in eV/atom: 0.211
DOS at the Fermi energy in states/eV/f.u.: 6.832

a b c (Å): 5.0948 5.0948 8.2586
angles (deg): 90.00 90.00 120.00
Positions (direct):
Cr: 0.3333 0.6667 0.1228
Cr: 0.6667 0.3333 0.8772
Ir: 0.1707 0.3414 0.7507
Ir: 0.1707 0.8293 0.7507
Ir: 0.3414 0.1707 0.2493
Ir: 0.6586 0.8293 0.7507
Ir: 0.8293 0.1707 0.2493
Ir: 0.8293 0.6586 0.2493
Rh: 0.0000 0.0000 0.0000
Rh: 0.0000 0.0000 0.5000
Rh: 0.3333 0.6667 0.4305
Rh: 0.6667 0.3333 0.5695



The lowest calculated volume belongs to which entry? Ba2Tl2O